! NaTiCo2Bi PBE optimized geometry; values from VASP
&SYSTEM
  ibrav = 0, nat = 5, ntyp = 4
/
ATOMIC_SPECIES
Na 22.99 Na.upf
Ti 47.87 Ti.upf
Co 58.93 Co.upf
Bi 208.98 Bi.upf
ATOMIC_POSITIONS angstrom
Na 0.000 0.000 0.000
Ti 2.242 2.242 2.689
Co 0.000 2.242 2.689
Co 2.242 0.000 2.689
Bi 2.242 2.242 0.000
CELL_PARAMETERS angstrom
4.485 0.000 0.000
0.000 4.485 0.000
0.000 0.000 5.378
! Mass density in g/cm3: 6.11
! DFT formation energy in kJ/mol of atoms: 74.8

***

! NbCoBi2 PBE optimized geometry; values from VASP
&SYSTEM
  ibrav = 0, nat = 4, ntyp = 3
/
ATOMIC_SPECIES
Nb 92.91 Nb.upf
Co 58.93 Co.upf
Bi 208.98 Bi.upf
ATOMIC_POSITIONS angstrom
Nb 0.000 0.000 0.000
Co 3.447 3.447 3.447
Bi 1.724 1.724 1.724
Bi 5.171 5.171 5.171
CELL_PARAMETERS angstrom
0.000 3.447 3.447
3.447 0.000 3.447
3.447 3.447 0.000
! Mass density in g/cm3: 11.55
! Distance to the lowest polymorph of the same formula in meV per atom: 0
! DFT formation energy in kJ/mol of atoms: 53.1

***

! Nb2CoBi PBE optimized geometry; values from VASP
&SYSTEM
  ibrav = 0, nat = 8, ntyp = 3
/
ATOMIC_SPECIES
Nb 92.91 Nb.upf
Co 58.93 Co.upf
Bi 208.98 Bi.upf
ATOMIC_POSITIONS angstrom
Nb 5.519 1.472 -0.706
Nb 1.472 1.840 0.706
Nb -1.840 2.207 2.118
Nb 2.207 1.840 3.530
Co 0.000 0.000 0.000
Co 0.000 3.679 1.412
Bi 3.679 0.000 1.412
Bi 0.000 0.000 2.824
CELL_PARAMETERS angstrom
-3.679 3.679 2.824
3.679 -3.679 2.824
3.679 3.679 -2.824
! Mass density in g/cm3: 9.85
! DFT formation energy in kJ/mol of atoms: 38.1

***

! NbCoBi2 PBE optimized geometry; values from VASP
&SYSTEM
  ibrav = 0, nat = 8, ntyp = 3
/
ATOMIC_SPECIES
Nb 92.91 Nb.upf
Co 58.93 Co.upf
Bi 208.98 Bi.upf
ATOMIC_POSITIONS angstrom
Nb 0.000 0.000 0.000
Nb 0.000 3.726 1.597
Co 3.726 0.000 1.597
Co 0.000 0.000 3.194
Bi 1.863 -1.515 2.395
Bi 2.211 1.863 0.798
Bi 1.863 5.240 -0.798
Bi 1.515 1.863 3.992
CELL_PARAMETERS angstrom
-3.726 3.726 3.194
3.726 -3.726 3.194
3.726 3.726 -3.194
! Mass density in g/cm3: 10.67
! Distance to the lowest polymorph of the same formula in meV per atom: 176
! DFT formation energy in kJ/mol of atoms: 70.1

***

! Nb3CoBi PBE optimized geometry; values from VASP
&SYSTEM
  ibrav = 0, nat = 5, ntyp = 3
/
ATOMIC_SPECIES
Nb 92.91 Nb.upf
Co 58.93 Co.upf
Bi 208.98 Bi.upf
ATOMIC_POSITIONS angstrom
Nb 0.000 0.000 2.336
Nb 0.000 2.336 0.000
Nb 2.336 0.000 0.000
Co 0.000 0.000 0.000
Bi 2.336 2.336 2.336
CELL_PARAMETERS angstrom
4.673 0.000 0.000
0.000 4.673 0.000
0.000 0.000 4.673
! Mass density in g/cm3: 8.90
! Distance to the lowest polymorph of the same formula in meV per atom: 0
! DFT formation energy in kJ/mol of atoms: 51.5

***

! Nb3CoBi PBE optimized geometry; values from VASP
&SYSTEM
  ibrav = 0, nat = 5, ntyp = 3
/
ATOMIC_SPECIES
Nb 92.91 Nb.upf
Co 58.93 Co.upf
Bi 208.98 Bi.upf
ATOMIC_POSITIONS angstrom
Nb 0.000 0.000 2.553
Nb 0.000 2.553 0.000
Nb 2.553 0.000 0.000
Co 2.553 2.553 2.553
Bi 0.000 0.000 0.000
CELL_PARAMETERS angstrom
5.105 0.000 0.000
0.000 5.105 0.000
0.000 0.000 5.105
! Mass density in g/cm3: 6.82
! Distance to the lowest polymorph of the same formula in meV per atom: 1878
! DFT formation energy in kJ/mol of atoms: 232.7

***

! NbCo2BiOs PBE optimized geometry; values from VASP
&SYSTEM
  ibrav = 0, nat = 5, ntyp = 4
/
ATOMIC_SPECIES
Nb 92.91 Nb.upf
Co 58.93 Co.upf
Bi 208.98 Bi.upf
Os 190.23 Os.upf
ATOMIC_POSITIONS angstrom
Nb 0.000 0.000 0.000
Co 0.000 2.237 2.569
Co 2.237 0.000 2.569
Bi 2.237 2.237 0.000
Os 2.237 2.237 2.569
CELL_PARAMETERS angstrom
4.474 0.000 0.000
0.000 4.474 0.000
0.000 0.000 5.138
! Mass density in g/cm3: 9.85
! DFT formation energy in kJ/mol of atoms: 148.0

***

! Nb2CoBiS PBE optimized geometry; values from VASP
&SYSTEM
  ibrav = 0, nat = 5, ntyp = 4
/
ATOMIC_SPECIES
Nb 92.91 Nb.upf
Co 58.93 Co.upf
Bi 208.98 Bi.upf
S 32.06 S.upf
ATOMIC_POSITIONS angstrom
Nb 0.000 2.273 0.000
Nb 2.273 0.000 0.000
Co 0.000 0.000 2.684
Bi 2.273 2.273 2.684
S 2.273 2.273 0.000
CELL_PARAMETERS angstrom
4.546 0.000 0.000
0.000 4.546 0.000
0.000 0.000 5.368
! Mass density in g/cm3: 7.27
! E_form (uncorrected) in eV/atom: 0.81

***

| no. | total magnetization (μB/f.u.) |
| --- | --- |
| 1 | 1.5 |
| 2 | 0.0 |
| 3 | 0.0 |
| 4 | 0.0 |
| 5 | 0.0 |
| 6 | 0.0 |
| 7 | 2.9 |
| 8 | 2.0 |